SmZr4O9 PBE optimized geometry; formation energy (no corrections) = -3.22 eV/atom; symmetry = Imm2 (44)
1.0
9.945 -0.004 0.000
7.922 6.012 0.000
-8.563 -4.106 2.953
O Zr Sm
9 4 1
Cartesian
3.629 1.200 2.174
7.193 2.399 2.174
12.843 3.233 0.700
-3.616 -1.237 2.174
6.339 4.397 0.699
2.764 -2.438 2.174
5.680 0.825 0.700
0.240 -0.713 2.673
2.237 -0.331 0.699
2.305 -0.377 2.904
-1.609 -1.693 2.904
5.760 0.782 2.907
-5.062 -2.857 2.907
0.022 -0.067 0.048